# 1
The following is a DFT calculation (PBE) of an optimized crystal structure of CeSm4Hg5.

Unit cell a=3.805 b=3.805 c=19.000 alpha=90.00 beta=90.00 gamma=90.00
Each line ends with the local moment (μB).
Sites, in units of the cell vectors:
Hg1 0.500 0.500 0.699  0.02
Hg2 0.500 0.500 0.896  0.02
Hg3 0.500 0.500 0.301  0.02
Hg4 0.500 0.500 0.104  0.02
Hg5 0.500 0.500 0.500  0.02
Sm1 0.000 0.000 0.401  0.19
Sm2 0.000 0.000 0.599  0.19
Sm3 0.000 0.000 0.202  0.18
Sm4 0.000 0.000 0.798  0.18
Ce1 0.000 0.000 0.000  1.05

Calculated values
* formation enthalpy at 0 K: -435 meV per atom
* space group: P4/mmm, No. 123
* electronic total energy: -0.2254 Ry/atom

# 2
The following is a DFT calculation (PBE) of an optimized crystal structure of Tl3HBr6.

Unit cell a=7.576 b=10.220 c=10.220 alpha=102.60 beta=90.00 gamma=90.00
Sites, in units of the cell vectors:
Tl1 0.985 0.665 0.335
Tl2 0.979 0.670 0.893
Tl3 0.479 0.330 0.107
Tl4 0.979 0.107 0.330
Tl5 0.485 0.335 0.665
Tl6 0.479 0.893 0.670
Br1 0.249 0.424 0.873
Br2 0.749 0.873 0.424
Br3 0.126 0.712 0.587
Br4 0.249 0.127 0.576
Br5 0.626 0.587 0.712
Br6 0.626 0.288 0.413
Br7 0.126 0.413 0.288
Br8 0.696 0.196 0.804
Br9 0.196 0.804 0.196
Br10 0.104 0.051 0.949
Br11 0.749 0.576 0.127
Br12 0.604 0.949 0.051
H1 0.491 0.875 0.125
H2 0.991 0.125 0.875

Calculated values
* space group: Cmc2_1, No. 36
* electronic total energy: -0.1919 Ry/atom

# 3
The following is a DFT calculation (PBE) of an optimized crystal structure of NdSc2Ni9.

Unit cell a=4.916 b=4.916 c=8.441 alpha=73.07 beta=73.07 gamma=60.00
Sites, in units of the cell vectors:
Ni1 0.082 0.587 0.743
Ni2 0.587 0.082 0.743
Ni3 0.500 0.500 0.500
Ni4 0.587 0.587 0.743
Ni5 0.333 0.333 0.000
Ni6 0.413 0.413 0.257
Ni7 0.918 0.413 0.257
Ni8 0.413 0.918 0.257
Ni9 0.667 0.667 0.000
Sc1 0.858 0.858 0.426
Sc2 0.142 0.142 0.574
Nd1 0.000 0.000 0.000

Calculated values
* formation enthalpy at 0 K: -419 meV per atom
* space group: R-3m, No. 166
* electronic total energy: -0.4562 Ry/atom

# 4
The following is a DFT calculation (PBE) of an optimized crystal structure of La2Ga3Ag4Sn.

Unit cell a=4.419 b=4.419 c=11.480 alpha=90.00 beta=90.00 gamma=90.00
Sites, in units of the cell vectors:
Ga1 0.000 0.000 0.500
Ga2 0.000 0.500 0.130
Ga3 0.500 0.000 0.870
La1 0.000 0.500 0.760
La2 0.500 0.000 0.240
Ag1 0.000 0.000 0.000
Ag2 0.500 0.500 0.000
Ag3 0.000 0.500 0.353
Ag4 0.500 0.000 0.647
Sn1 0.500 0.500 0.500

Calculated values
* formation enthalpy at 0 K: -387 meV per atom
* space group: P-4m2, No. 115
* electronic total energy: -0.2809 Ry/atom